No. 1
The following is a DFT calculation (PBE) of a geometry-optimized GaB3Mo structure.

Its symmetry is Pm-3m (221). As for the excess energy over the best structure of this formula in the dataset: 0.0 meV/atom.

a = 4.223 Å, b = 4.223 Å, c = 4.223 Å
α = 90.00°, β = 90.00°, γ = 90.00°
Atoms (fractional coordinates):
Ga 0.000 0.000 0.000
B 0.000 0.500 0.500
B 0.500 0.000 0.500
B 0.500 0.500 0.000
Mo 0.500 0.500 0.500

---

No. 2
The following is a DFT calculation (PBE) of a geometry-optimized Ga2B2Mo5 structure.

Its symmetry is Cmce (64).

a = 7.369 Å, b = 7.369 Å, c = 6.025 Å
α = 90.00°, β = 90.00°, γ = 48.72°
Atoms (fractional coordinates):
Ga 0.226 0.226 0.000
Ga 0.274 0.274 0.500
Ga 0.726 0.726 0.500
Ga 0.774 0.774 0.000
B 0.109 0.891 0.608
B 0.391 0.609 0.108
B 0.609 0.391 0.892
B 0.891 0.109 0.392
Mo 0.000 0.000 0.000
Mo 0.061 0.714 0.319
Mo 0.214 0.561 0.819
Mo 0.286 0.939 0.319
Mo 0.439 0.786 0.819
Mo 0.500 0.500 0.500
Mo 0.561 0.214 0.181
Mo 0.714 0.061 0.681
Mo 0.786 0.439 0.181
Mo 0.939 0.286 0.681

---

No. 3
The following is a DFT calculation (PBE) of a geometry-optimized GaBMo2Os structure.

Its symmetry is P4/mmm (123).

a = 4.834 Å, b = 4.834 Å, c = 3.963 Å
α = 90.00°, β = 90.00°, γ = 90.00°
Atoms (fractional coordinates):
Ga 0.000 0.000 0.000
B 0.500 0.500 0.000
Mo 0.000 0.500 0.500
Mo 0.500 0.000 0.500
Os 0.500 0.500 0.500

---

No. 4
The following is a DFT calculation (PBE) of a geometry-optimized GaB2MoOs structure.

Its symmetry is P4/mmm (123).

a = 3.836 Å, b = 3.836 Å, c = 5.008 Å
α = 90.00°, β = 90.00°, γ = 90.00°
Atoms (fractional coordinates):
Ga 0.000 0.000 0.000
B 0.000 0.500 0.000
B 0.500 0.000 0.000
Mo 0.000 0.000 0.500
Os 0.500 0.500 0.500

---

No. 5
The following is a DFT calculation (PBE) of a geometry-optimized GaBMo2Pb structure.

Its symmetry is P4/mmm (123).

a = 4.707 Å, b = 4.707 Å, c = 5.162 Å
α = 90.00°, β = 90.00°, γ = 90.00°
Atoms (fractional coordinates):
Ga 0.000 0.000 0.000
B 0.500 0.500 0.500
Mo 0.000 0.500 0.000
Mo 0.500 0.000 0.000
Pb 0.000 0.000 0.500

---

No. 6
The following is a DFT calculation (PBE) of a geometry-optimized GaSnB2Mo structure.

Its symmetry is P4/mmm (123).

a = 4.280 Å, b = 4.280 Å, c = 4.932 Å
α = 90.00°, β = 90.00°, γ = 90.00°
Atoms (fractional coordinates):
Ga 0.000 0.000 0.000
Sn 0.500 0.500 0.000
B 0.000 0.500 0.500
B 0.500 0.000 0.500
Mo 0.000 0.000 0.500

---

Listing energy relative to the elements for the structures above in their given order: 1.2672, -0.2089, 1.3466, 2.0741, 2.3540, 0.9574 eV/atom.
Listing E_tot for the structures above in their given order: -0.2025, -0.3081, -0.2636, -0.2063, -0.1713, -0.1942 hartree per atom.